Record 1
First-principles (GGA-PBE) data for SrTlPd2 after structural relaxation, as listed in the Alexandria database.

The space group is P4/mmm (No. 123) and the conventional cell measures 3.623, 3.623 and 6.892 Å, with angles of 90.00, 90.00 and 90.00 degrees. The distinct sites, in fractional coordinates, are Sr at (0.000, 0.000, 0.000), Tl at (0.000, 0.000, 0.500) and Pd at (0.500, 0.500, 0.290).

The calculation puts the density of states at the Fermi level at 0.58 states/eV/atom. The calculation puts the formation enthalpy at 0 K at -127 kJ/mol of formula units.


Record 2
First-principles (GGA-PBE) data for CdCoAg2 after structural relaxation, as listed in the Alexandria database.

The space group is Cm (No. 8) and the conventional cell measures 9.568, 2.894 and 4.968 Å, with angles of 90.00, 101.71 and 90.00 degrees. The distinct sites, in fractional coordinates, are Cd at (0.000, 0.000, 0.000), Co at (0.256, 0.000, 0.764), Ag at (0.017, 0.500, 0.519) and Ag at (0.259, 0.500, 0.269).

The calculation puts the density of states at the Fermi level at 0.96 states/eV/atom. The calculation puts the formation enthalpy at 0 K at 108 kJ/mol of formula units.


Record 3
First-principles (GGA-PBE) data for K3YHf after structural relaxation, as listed in the Alexandria database.

The space group is Pm-3m (No. 221) and the conventional cell measures 6.575, 6.575 and 6.575 Å, with angles of 90.00, 90.00 and 90.00 degrees. The distinct sites, in fractional coordinates, are K at (0.000, 0.000, 0.500), Y at (0.500, 0.500, 0.500) and Hf at (0.000, 0.000, 0.000).

The energy relative to the lowest polymorph listed for this composition is 0.0 meV per atom. The calculation puts the density of states at the Fermi level at 2.07 states/eV/atom. The calculation puts the formation enthalpy at 0 K at 768 kJ/mol of formula units.


Record 4
First-principles (GGA-PBE) data for ReSbP2Ru after structural relaxation, as listed in the Alexandria database.

The space group is P4/mmm (No. 123) and the conventional cell measures 4.886, 4.886 and 4.979 Å, with angles of 90.00, 90.00 and 90.00 degrees. The distinct sites, in fractional coordinates, are Re at (0.000, 0.000, 0.000), Sb at (0.000, 0.000, 0.500), P at (0.000, 0.500, 0.500) and Ru at (0.500, 0.500, 0.000).

Its formation energy without anion corrections is 2.40 eV/atom. The calculation puts the density of states at the Fermi level at 1.67 states/eV/atom.


Record 5
First-principles (GGA-PBE) data for RbAgBr3 after structural relaxation, as listed in the Alexandria database.

The space group is Cmcm (No. 63) and the conventional cell measures 7.766, 22.838 and 5.725 Å, with angles of 90.00, 90.00 and 90.00 degrees. The distinct sites, in fractional coordinates, are Rb at (0.000, 0.202, 0.250), Ag at (0.000, 0.394, 0.250), Br at (0.000, 0.500, 0.000) and Br at (0.231, 0.172, 0.750).

Its formation energy without anion corrections is -0.77 eV/atom. The calculation puts the density of states at the Fermi level at 0.58 states/eV/atom.


Record 6
First-principles (GGA-PBE) data for Hf2TlH after structural relaxation, as listed in the Alexandria database.

The space group is R3m (No. 160, hexagonal axes) and the conventional cell measures 3.3011, 3.3011 and 22.4421 Å, with angles of 90.00, 90.00 and 120.00 degrees. The distinct sites, in fractional coordinates, are Hf at (0.0000, 0.0000, 0.0000), Hf at (0.0000, 0.0000, 0.2245), Tl at (0.0000, 0.0000, 0.7785) and H at (0.0000, 0.0000, 0.6132).

The energy relative to the lowest polymorph listed for this composition is 49.5 meV per atom. The calculation puts the density of states at the Fermi level at 0.86 states/eV/atom.


Record 7
First-principles (GGA-PBE) data for Ac12Sn3Os5 after structural relaxation, as listed in the Alexandria database.

The space group is Ia-3d (No. 230) and the conventional cell measures 18.371, 18.371 and 18.371 Å, with angles of 90.00, 90.00 and 90.00 degrees. The distinct sites, in fractional coordinates, are Ac at (0.029, 0.055, 0.650), Sn at (0.000, 0.250, 0.125), Os at (0.000, 0.000, 0.000) and Os at (0.000, 0.250, 0.375).

The calculation puts the density of states at the Fermi level at 0.75 states/eV/atom. The calculation puts the formation enthalpy at 0 K at -20 kJ/mol of formula units.


| no. | magnetic moment (μB per formula unit) |
| --- | --- |
| 1 | 0.0 |
| 2 | 1.6 |
| 3 | 3.3 |
| 4 | 3.6 |
| 5 | 0.0 |
| 6 | 0.0 |
| 7 | 0.0 |